First-principles (GGA-PBE) data for K3SrBe after structural relaxation, as listed in Alexandria via LeMat-Bulk.

abc: 6.577 6.577 6.577
angles: 90.00 90.00 90.00
Element x y z (fractional)
Sr  0.500  0.500  0.500
K  0.000  0.500  0.000
K  0.000  0.000  0.500
K  0.500  0.000  0.000
Be  0.000  0.000  0.000

Properties
magnetic moment	0.00	Bohr magnetons per cell
energy above the most stable polymorph in this dataset	0.000	eV per atom
formation energy	0.59	eV/atom
calculated density	1.25	g cm⁻³